# 1
Density functional theory data (PBE) for crystalline Sr3In4Rh2 at its relaxed geometry.

```
data_Sr3In4Rh2
_cell_length_a 11.867
_cell_length_b 4.778
_cell_length_c 9.340
_cell_angle_alpha 90.00
_cell_angle_beta 109.35
_cell_angle_gamma 90.00
_space_group_name_H-M_alt 'C 1 2/m 1'
_space_group_IT_number 12
_space_group_name_Hall '-C 2y'
loop_
_atom_site_label
_atom_site_fract_x
_atom_site_fract_y
_atom_site_fract_z
Sr1 0.000 0.000 0.000
Sr2 0.108 0.500 0.372
In1 0.108 0.000 0.644
In2 0.201 0.500 0.057
Rh1 0.209 0.500 0.768
```


# 2
Density functional theory data (PBE) for crystalline SrIn3Rh at its relaxed geometry.

```
data_SrIn3Rh
_cell_length_a 7.237
_cell_length_b 10.367
_cell_length_c 7.356
_cell_angle_alpha 90.00
_cell_angle_beta 90.00
_cell_angle_gamma 90.00
_space_group_name_H-M_alt 'P n m a'
_space_group_IT_number 62
_space_group_name_Hall '-P 2ac 2n'
loop_
_atom_site_label
_atom_site_fract_x
_atom_site_fract_y
_atom_site_fract_z
Sr1 0.000 0.250 0.072
In1 0.001 0.250 0.559
In2 0.249 0.030 0.751
Rh1 0.000 0.000 0.500
```


# 3
Density functional theory data (PBE) for crystalline SrIn3Rh3 at its relaxed geometry.

```
data_SrIn3Rh3
_cell_length_a 7.266
_cell_length_b 7.266
_cell_length_c 7.266
_cell_angle_alpha 90.00
_cell_angle_beta 90.00
_cell_angle_gamma 90.00
_space_group_name_H-M_alt 'P m -3 n'
_space_group_IT_number 223
_space_group_name_Hall '-P 4n 2 3'
loop_
_atom_site_label
_atom_site_fract_x
_atom_site_fract_y
_atom_site_fract_z
Sr1 0.000 0.000 0.000
In1 0.000 0.250 0.500
Rh1 0.000 0.500 0.250
```


no.,total energy (eV per atom)
1,-3.79
2,-3.80
3,-4.54